# 1
First-principles (PBE) data for a relaxed structure of SrSi2Sb, as listed in Alexandria via LeMat-Bulk.

Summary:
Uncorrected energy ... -16.0 eV per cell
Formation energy without anion corrections ... 0.17 eV/atom

a b c (Å): 5.5415 5.5415 5.5415
angles (deg): 130.90 130.90 71.97
Element x y z (fractional)
Si (0.0000, 0.0000, 0.0000)
Si (0.5000, 0.5000, 0.0000)
Sb (0.7500, 0.2500, 0.5000)
Sr (0.2500, 0.7500, 0.5000)



# 2
First-principles (PBE) data for a relaxed structure of CdFe2Pt, as listed in Alexandria via LeMat-Bulk.

Summary:
Uncorrected energy ... -23.7 eV per cell
Formation energy ... 0.04 eV/atom

a b c (Å): 4.8598 4.8598 4.7100
angles (deg): 73.89 73.89 34.20
Site moments in Bohr magnetons follow the coordinates.
Element x y z (fractional)
Fe (0.9776, 0.9776, 0.0170)  2.78
Fe (0.2629, 0.2629, 0.2486)  2.73
Cd (0.7440, 0.7440, 0.7626)  -0.05
Pt (0.5154, 0.5154, 0.4718)  0.30



# 3
First-principles (PBE) data for a relaxed structure of SrIrOsF2, as listed in Alexandria via LeMat-Bulk.

Summary:
Uncorrected energy ... -26.9 eV per cell
Formation energy without anion corrections ... -0.28 eV/atom

a b c (Å): 4.4874 4.8086 4.4874
angles (deg): 90.00 90.00 90.00
Site moments in Bohr magnetons follow the coordinates.
Element x y z (fractional)
F (0.5000, 0.0000, 0.0000)  0.00
F (0.0000, 0.0000, 0.5000)  0.00
Ir (0.0000, 0.0000, 0.0000)  -0.01
Sr (0.5000, 0.5000, 0.5000)  -0.01
Os (0.0000, 0.5000, 0.0000)  0.43